Entry 1:
# LaInPt2F (GGA-PBE, relaxed)
data_LaInPt2F
_space_group_name_H-M_alt 'P 4/m m m'
_space_group_IT_number 123
_space_group_name_Hall '-P 4 2'
_cell_length_a 5.403
_cell_length_b 5.403
_cell_length_c 4.418
_cell_angle_alpha 90.00
_cell_angle_beta 90.00
_cell_angle_gamma 90.00
loop_
_atom_site_label
_atom_site_type_symbol
_atom_site_fract_x
_atom_site_fract_y
_atom_site_fract_z
La1 La 0.000 0.000 0.000
In1 In 0.500 0.500 0.500
Pt1 Pt 0.000 0.500 0.000
F1 F 0.000 0.000 0.500
# M_tot = 0.00 μB/f.u.
# Energy relative to the elements, uncorrected = -0.752 eV per atom
# Total energy = -5.076 eV/atom
# Fermi-level density of states = 0.757 states/eV/atom
# Crystal system = tetragonal

---

Entry 2:
# Rb2LaInF6 (GGA-PBE, relaxed)
data_Rb2LaInF6
_space_group_name_H-M_alt 'F m -3 m'
_space_group_IT_number 225
_space_group_name_Hall '-F 4 2 3'
_cell_length_a 9.870
_cell_length_b 9.870
_cell_length_c 9.870
_cell_angle_alpha 90.00
_cell_angle_beta 90.00
_cell_angle_gamma 90.00
loop_
_atom_site_label
_atom_site_type_symbol
_atom_site_fract_x
_atom_site_fract_y
_atom_site_fract_z
Rb1 Rb 0.250 0.250 0.250
La1 La 0.000 0.000 0.000
In1 In 0.000 0.000 0.500
F1 F 0.000 0.000 0.235
# M_tot = 0.00 μB/f.u.
# Energy relative to the elements, uncorrected = -3.012 eV per atom
# Total energy = -5.095 eV/atom
# Fermi-level density of states = 0.000 states/eV/atom
# Crystal system = cubic

---

Entry 3:
# La2ScInF (GGA-PBE, relaxed)
data_La2ScInF
_space_group_name_H-M_alt 'P 4/m m m'
_space_group_IT_number 123
_space_group_name_Hall '-P 4 2'
_cell_length_a 5.213
_cell_length_b 5.213
_cell_length_c 4.570
_cell_angle_alpha 90.00
_cell_angle_beta 90.00
_cell_angle_gamma 90.00
loop_
_atom_site_label
_atom_site_type_symbol
_atom_site_fract_x
_atom_site_fract_y
_atom_site_fract_z
La1 La 0.000 0.500 0.000
Sc1 Sc 0.000 0.000 0.500
In1 In 0.500 0.500 0.500
F1 F 0.000 0.000 0.000
# M_tot = 0.00 μB/f.u.
# Energy relative to the elements, uncorrected = -1.122 eV per atom
# Total energy = -5.281 eV/atom
# Fermi-level density of states = 0.956 states/eV/atom
# Crystal system = tetragonal